Record 1
The following is a PBE-GGA calculation of an optimized crystal structure of PmMgCdGa, from Alexandria via LeMat-Bulk.

Cell and atoms, written as POSCAR:
```
PmMgCdGa
1.0
7.1913 0.0000 0.0000
0.0000 7.1913 0.0000
0.0000 0.0000 7.1913
Pm Mg Cd Ga
4 4 4 4
direct
0.0000 0.0000 0.0000
0.0000 0.5000 0.5000
0.5000 0.0000 0.5000
0.5000 0.5000 0.0000
0.0000 0.0000 0.5000
0.0000 0.5000 0.0000
0.5000 0.0000 0.0000
0.5000 0.5000 0.5000
0.2500 0.2500 0.7500
0.2500 0.7500 0.2500
0.7500 0.2500 0.2500
0.7500 0.7500 0.7500
0.2500 0.2500 0.2500
0.2500 0.7500 0.7500
0.7500 0.2500 0.7500
0.7500 0.7500 0.2500
```

Calculated values
total magnetization: 0.0 Bohr magnetons per cell
DFT total energy: -2.94 eV per atom
calculated density: 6.3 g cm⁻³

Record 2
The following is a PBE-GGA calculation of an optimized crystal structure of MgCd2Ga2Pt5, from Alexandria via LeMat-Bulk.

Cell and atoms, written as POSCAR:
```
MgCd2Ga2Pt5
1.0
9.4112 0.0000 0.0000
0.0000 9.4112 0.0000
0.0000 0.0000 3.8458
Mg Cd Ga Pt
2 4 4 10
direct
0.0000 0.0000 0.0000
0.5000 0.5000 0.0000
0.1727 0.3273 0.0000
0.3273 0.8273 0.0000
0.6727 0.1727 0.0000
0.8273 0.6727 0.0000
0.1271 0.6271 0.0000
0.3729 0.1271 0.0000
0.6271 0.8729 0.0000
0.8729 0.3729 0.0000
0.0000 0.5000 0.5000
0.0756 0.8017 0.5000
0.1983 0.0756 0.5000
0.3017 0.5756 0.5000
0.4244 0.3017 0.5000
0.5000 0.0000 0.5000
0.5756 0.6983 0.5000
0.6983 0.4244 0.5000
0.8017 0.9244 0.5000
0.9244 0.1983 0.5000
```

Calculated values
total magnetization: 0.0 Bohr magnetons per cell
DFT total energy: -4.45 eV per atom
calculated density: 13.3 g cm⁻³

Record 3
The following is a PBE-GGA calculation of an optimized crystal structure of Mg2CdGa2Pt5, from Alexandria via LeMat-Bulk.

Cell and atoms, written as POSCAR:
```
Mg2CdGa2Pt5
1.0
9.4109 0.0000 0.0000
0.0000 9.4109 0.0000
0.0000 0.0000 3.8235
Mg Cd Ga Pt
4 2 4 10
direct
0.1725 0.3275 0.0000
0.3275 0.8275 0.0000
0.6725 0.1725 0.0000
0.8275 0.6725 0.0000
0.0000 0.0000 0.0000
0.5000 0.5000 0.0000
0.1264 0.6264 0.0000
0.3736 0.1264 0.0000
0.6264 0.8736 0.0000
0.8736 0.3736 0.0000
0.0000 0.5000 0.5000
0.0762 0.7969 0.5000
0.2031 0.0762 0.5000
0.2969 0.5762 0.5000
0.4238 0.2969 0.5000
0.5000 0.0000 0.5000
0.5762 0.7031 0.5000
0.7031 0.4238 0.5000
0.7969 0.9238 0.5000
0.9238 0.2031 0.5000
```

Calculated values
total magnetization: 0.0 Bohr magnetons per cell
DFT total energy: -4.63 eV per atom
calculated density: 12.5 g cm⁻³

Record 4
The following is a PBE-GGA calculation of an optimized crystal structure of Mg2CdGaPt, from Alexandria via LeMat-Bulk.

Cell and atoms, written as POSCAR:
```
Mg2CdGaPt
1.0
5.0725 0.0000 0.0000
0.0000 5.0725 0.0000
0.0000 0.0000 4.7805
Mg Cd Ga Pt
2 1 1 1
direct
0.0000 0.5000 0.0000
0.5000 0.0000 0.0000
0.0000 0.0000 0.5000
0.5000 0.5000 0.5000
0.5000 0.5000 0.0000
```

Calculated values
total magnetization: 0.0 Bohr magnetons per cell
DFT total energy: -2.92 eV per atom
calculated density: 5.7 g cm⁻³

Record 5
The following is a PBE-GGA calculation of an optimized crystal structure of MgCdGaRe2, from Alexandria via LeMat-Bulk.

Cell and atoms, written as POSCAR:
```
MgCdGaRe2
1.0
4.6969 0.0000 0.0000
0.0000 4.6969 0.0000
0.0000 0.0000 4.6065
Mg Cd Ga Re
1 1 1 2
direct
0.0000 0.0000 0.0000
0.5000 0.5000 0.5000
0.0000 0.0000 0.5000
0.0000 0.5000 0.0000
0.5000 0.0000 0.0000
```

Calculated values
total magnetization: 3.1 Bohr magnetons per cell
DFT total energy: -4.10 eV per atom
calculated density: 9.5 g cm⁻³

Record 6
The following is a PBE-GGA calculation of an optimized crystal structure of MgCd2GaSb, from Alexandria via LeMat-Bulk.

Cell and atoms, written as POSCAR:
```
MgCd2GaSb
1.0
5.5807 0.0000 0.0000
0.0000 5.5807 0.0000
0.0000 0.0000 5.4600
Mg Cd Ga Sb
1 2 1 1
direct
0.0000 0.0000 0.0000
0.0000 0.5000 0.5000
0.5000 0.0000 0.5000
0.5000 0.5000 0.0000
0.5000 0.5000 0.5000
```

Calculated values
raw formation energy: 221 kJ/mol of formula units
total magnetization: 0.0 Bohr magnetons per cell
calculated density: 4.3 g cm⁻³

Record 7
The following is a PBE-GGA calculation of an optimized crystal structure of SmMgCdGa, from Alexandria via LeMat-Bulk.

Cell and atoms, written as POSCAR:
```
SmMgCdGa
1.0
7.1698 0.0000 0.0000
0.0000 7.1698 0.0000
0.0000 0.0000 7.1698
Sm Mg Cd Ga
4 4 4 4
direct
0.0000 0.0000 0.0000
0.0000 0.5000 0.5000
0.5000 0.0000 0.5000
0.5000 0.5000 0.0000
0.0000 0.0000 0.5000
0.0000 0.5000 0.0000
0.5000 0.0000 0.0000
0.5000 0.5000 0.5000
0.2500 0.2500 0.7500
0.2500 0.7500 0.2500
0.7500 0.2500 0.2500
0.7500 0.7500 0.7500
0.2500 0.2500 0.2500
0.2500 0.7500 0.7500
0.7500 0.2500 0.7500
0.7500 0.7500 0.2500
```

Calculated values
total magnetization: 0.0 Bohr magnetons per cell
DFT total energy: -2.93 eV per atom
calculated density: 6.4 g cm⁻³

Record 8
The following is a PBE-GGA calculation of an optimized crystal structure of Mg5Cd2Ga2Sn, from Alexandria via LeMat-Bulk.

Cell and atoms, written as POSCAR:
```
Mg5Cd2Ga2Sn
1.0
10.1022 0.0000 0.0000
0.0000 10.1022 0.0000
0.0000 0.0000 4.3361
Mg Cd Ga Sn
10 4 4 2
direct
0.0000 0.5000 0.0000
0.0875 0.1986 0.0000
0.1986 0.9125 0.0000
0.3014 0.4125 0.0000
0.4125 0.6986 0.0000
0.5000 0.0000 0.0000
0.5875 0.3014 0.0000
0.6986 0.5875 0.0000
0.8014 0.0875 0.0000
0.9125 0.8014 0.0000
0.1681 0.6681 0.5000
0.3319 0.1681 0.5000
0.6681 0.8319 0.5000
0.8319 0.3319 0.5000
0.1269 0.3731 0.5000
0.3731 0.8731 0.5000
0.6269 0.1269 0.5000
0.8731 0.6269 0.5000
0.0000 0.0000 0.5000
0.5000 0.5000 0.5000
```

Calculated values
total magnetization: 0.0 Bohr magnetons per cell
DFT total energy: -2.04 eV per atom
calculated density: 4.5 g cm⁻³

Record 9
The following is a PBE-GGA calculation of an optimized crystal structure of MgCdGaSn2, from Alexandria via LeMat-Bulk.

Cell and atoms, written as POSCAR:
```
MgCdGaSn2
1.0
5.5600 0.0000 0.0000
0.0000 5.5600 0.0000
0.0000 0.0000 5.1643
Mg Cd Ga Sn
1 1 1 2
direct
0.0000 0.0000 0.0000
0.0000 0.0000 0.5000
0.5000 0.5000 0.0000
0.0000 0.5000 0.5000
0.5000 0.0000 0.5000
```

Calculated values
total magnetization: 0.0 Bohr magnetons per cell
DFT total energy: -2.21 eV per atom
calculated density: 4.6 g cm⁻³

Record 10
The following is a PBE-GGA calculation of an optimized crystal structure of Sr2Mg3Cd12Ga, from Alexandria via LeMat-Bulk.

Cell and atoms, written as POSCAR:
```
Sr2Mg3Cd12Ga
1.0
3.3529 1.9358 12.4150
-3.3529 1.9358 12.4150
0.0000 -3.8716 12.4150
Sr Mg Cd Ga
2 3 12 1
direct
0.1410 0.1410 0.1410
0.8590 0.8590 0.8590
0.0000 0.5000 0.5000
0.5000 0.0000 0.5000
0.5000 0.5000 0.0000
0.0918 0.0918 0.6519
0.0918 0.6519 0.0918
0.1075 0.6132 0.6132
0.3481 0.9082 0.9082
0.3868 0.3868 0.8925
0.3868 0.8925 0.3868
0.6132 0.1075 0.6132
0.6132 0.6132 0.1075
0.6519 0.0918 0.0918
0.8925 0.3868 0.3868
0.9082 0.3481 0.9082
0.9082 0.9082 0.3481
0.5000 0.5000 0.5000
```

Calculated values
total magnetization: 0.0 Bohr magnetons per cell
DFT total energy: -1.28 eV per atom
calculated density: 5.7 g cm⁻³

Record 11
The following is a PBE-GGA calculation of an optimized crystal structure of Sr2MgCd4Ga3, from Alexandria via LeMat-Bulk.

Cell and atoms, written as POSCAR:
```
Sr2MgCd4Ga3
1.0
4.5997 0.0000 0.0000
0.0000 4.5997 0.0000
0.0000 0.0000 11.8574
Sr Mg Cd Ga
2 1 4 3
direct
0.0000 0.5000 0.2412
0.5000 0.0000 0.7588
0.0000 0.0000 0.5000
0.0000 0.0000 0.0000
0.0000 0.5000 0.6389
0.5000 0.0000 0.3611
0.5000 0.5000 0.0000
0.0000 0.5000 0.8658
0.5000 0.0000 0.1342
0.5000 0.5000 0.5000
```

Calculated values
total magnetization: 0.0 Bohr magnetons per cell
DFT total energy: -2.06 eV per atom
calculated density: 5.7 g cm⁻³

Record 12
The following is a PBE-GGA calculation of an optimized crystal structure of SrMg2Cd4Ga, from Alexandria via LeMat-Bulk.

Cell and atoms, written as POSCAR:
```
SrMg2Cd4Ga
1.0
2.4357 1.4062 9.8620
-2.4357 1.4062 9.8620
0.0000 -2.8125 9.8620
Sr Mg Cd Ga
1 2 4 1
direct
0.0000 0.0000 0.0000
0.2385 0.2385 0.2385
0.7615 0.7615 0.7615
0.1287 0.1287 0.1287
0.3998 0.3998 0.3998
0.6002 0.6002 0.6002
0.8713 0.8713 0.8713
0.5000 0.5000 0.5000
```

Calculated values
total magnetization: 0.0 Bohr magnetons per cell
DFT total energy: -1.57 eV per atom
calculated density: 5.4 g cm⁻³